(1)
VASP calculation (PBE) on UMnGa2 after structural relaxation.

Cell lengths 2.754, 2.754, 8.472 Å; angles 90.00, 90.00, 90.00 degrees
Fractional positions:
U  0.000  0.000  0.000
Mn  0.000  0.000  0.500
Ga  0.500  0.500  0.287
Ga  0.500  0.500  0.713

Values from the calculation:
SG ... P4/mmm, No. 123
Final energy ... -6.7535 eV/atom
Formation energy ... -0.126 eV per atom

***

(2)
VASP calculation (PBE) on Ho4Er2TmSc after structural relaxation.

Cell lengths 4.927, 4.927, 9.833 Å; angles 90.00, 90.00, 90.00 degrees
Fractional positions:
Ho  0.000  0.500  0.246
Ho  0.000  0.500  0.754
Ho  0.500  0.000  0.246
Ho  0.500  0.000  0.754
Er  0.000  0.000  0.000
Er  0.500  0.500  0.500
Tm  0.000  0.000  0.500
Sc  0.500  0.500  0.000

Values from the calculation:
SG ... P4/mmm, No. 123
Final energy ... -4.7467 eV/atom
Formation energy ... 0.033 eV per atom

***

(3)
VASP calculation (PBE) on Ac2MgCu3Pt4 after structural relaxation.

Cell lengths 4.200, 4.200, 11.348 Å; angles 90.00, 90.00, 90.00 degrees
Fractional positions:
Ac  0.000  0.500  0.232
Ac  0.500  0.000  0.768
Mg  0.000  0.000  0.500
Cu  0.000  0.500  0.867
Cu  0.500  0.000  0.133
Cu  0.500  0.500  0.500
Pt  0.000  0.000  0.000
Pt  0.000  0.500  0.644
Pt  0.500  0.000  0.356
Pt  0.500  0.500  0.000

Values from the calculation:
SG ... P-4m2, No. 115
Final energy ... -5.3015 eV/atom
Formation energy ... -0.675 eV per atom

***

(4)
VASP calculation (PBE) on La5HoS6 after structural relaxation.

Cell lengths 7.127, 7.127, 7.122 Å; angles 99.67, 99.67, 120.06 degrees
Fractional positions:
La  0.000  0.000  0.000
La  0.166  0.834  0.500
La  0.330  0.670  0.000
La  0.670  0.330  0.000
La  0.834  0.166  0.500
Ho  0.500  0.500  0.500
S  0.099  0.420  0.260
S  0.261  0.261  0.745
S  0.420  0.099  0.260
S  0.580  0.901  0.740
S  0.739  0.739  0.255
S  0.901  0.580  0.740

Values from the calculation:
SG ... C2/m, No. 12
E_form (uncorrected) ... -25.586 eV per formula unit
Final energy ... -6.6304 eV/atom

***

Repeat the third record exactly.
VASP calculation (PBE) on Ac2MgCu3Pt4 after structural relaxation.

Cell lengths 4.200, 4.200, 11.348 Å; angles 90.00, 90.00, 90.00 degrees
Fractional positions:
Ac  0.000  0.500  0.232
Ac  0.500  0.000  0.768
Mg  0.000  0.000  0.500
Cu  0.000  0.500  0.867
Cu  0.500  0.000  0.133
Cu  0.500  0.500  0.500
Pt  0.000  0.000  0.000
Pt  0.000  0.500  0.644
Pt  0.500  0.000  0.356
Pt  0.500  0.500  0.000

Values from the calculation:
SG ... P-4m2, No. 115
Final energy ... -5.3015 eV/atom
Formation energy ... -0.675 eV per atom

***

Q: Which value of final energy does entry 1 give?
A: -6.7535 eV/atom

***

Q: Among the records above, which one has the highest final energy?
A: Ho4Er2TmSc

***

Q: Which of these has the highest final energy?
A: Ho4Er2TmSc